1.
18
Lattice="6.5942 -1.2262 -0.8697 2.1903 6.3395 -0.8697 2.1903 1.2750 6.2706" Properties=species:S:1:pos:R:3 comment="Ce2HoP3Rh12 GGA-PBE relaxed" total_magnetization_mub_per_cell=0.00 formation_energy_ev_per_atom=-0.50 spacegroup=R-3m dft_energy_ev_per_atom=-7.22 pbc="T T T"
P 3.2971 -0.6131 -0.4349
P 1.0952 3.1697 -0.4349
P 1.0952 0.6375 3.1353
Rh 7.9497 4.6274 0.8090
Rh 5.9201 5.7801 4.0998
Rh 5.0653 2.9484 5.1118
Rh 5.9096 3.4399 -0.5807
Rh 7.5441 1.5406 1.0927
Rh 3.4307 4.8477 3.4384
Rh 5.0547 0.6082 0.4314
Rh 5.0653 5.7991 1.0927
Rh 3.0251 4.0950 0.4314
Rh 3.0251 1.7609 3.7221
Rh 7.9497 2.2933 4.0998
Rh 5.9096 0.5891 3.4384
Ce 4.2222 2.4577 1.7432
Ce 6.7526 3.9306 2.7879
Ho 0.0000 0.0000 0.0000

---

2.
9
Lattice="4.0325 0.0000 0.0000 0.0000 4.0325 0.0000 0.0000 0.0000 10.7748" Properties=species:S:1:pos:R:3 comment="CeHoP2Rh5 GGA-PBE relaxed" total_magnetization_mub_per_cell=0.00 formation_energy_ev_per_atom=-0.63 spacegroup=P4/mmm dft_energy_ev_per_atom=-7.08 pbc="T T T"
Ho 2.0163 2.0163 5.3874
Ce 0.0000 0.0000 0.0000
Rh 0.0000 2.0163 2.1040
Rh 2.0163 0.0000 2.1040
Rh 0.0000 2.0163 8.6708
Rh 2.0163 0.0000 8.6708
Rh 0.0000 0.0000 5.3874
P 0.0000 0.0000 3.1425
P 0.0000 0.0000 7.6323